Na5LuMo4O16 (GGA+U, relaxed); raw total energy = -341.10 eV per cell
1.0
9.951 -0.001 0.000
-3.328 9.378 0.000
-3.311 -4.688 8.129
Na Lu Mo O
10 2 8 32
Direct
0.350 0.765 0.176
0.015 0.339 0.915
0.423 0.100 0.085
0.589 0.173 0.824
0.900 0.985 0.324
0.235 0.411 0.585
0.827 0.650 0.415
0.661 0.577 0.676
0.750 0.250 0.500
0.500 0.500 0.000
0.000 0.000 0.000
0.250 0.750 0.500
0.557 0.831 0.910
0.081 0.671 0.774
0.329 0.103 0.410
0.353 0.443 0.274
0.169 0.079 0.726
0.693 0.919 0.590
0.921 0.647 0.090
0.897 0.307 0.226
0.114 0.019 0.257
0.269 0.512 0.405
0.107 0.864 0.595
0.762 0.857 0.743
0.136 0.731 0.243
0.981 0.238 0.095
0.143 0.886 0.905
0.488 0.893 0.757
0.350 0.020 0.548
0.270 0.222 0.170
0.052 0.100 0.830
0.472 0.802 0.452
0.900 0.730 0.952
0.980 0.528 0.330
0.198 0.650 0.670
0.778 0.948 0.048
0.454 0.070 0.322
0.320 0.499 0.117
0.382 0.204 0.883
0.749 0.132 0.678
0.470 0.864 0.039
0.114 0.575 0.894
0.681 0.220 0.106
0.825 0.431 0.961
0.780 0.886 0.461
0.136 0.175 0.606
0.569 0.530 0.394
0.425 0.319 0.539
0.501 0.618 0.822
0.868 0.546 0.617
0.930 0.251 0.383
0.796 0.680 0.178